A plane-wave DFT calculation with PBE-GGA was carried out for TaPt6Rh23 after structural relaxation.

- raw total energy (Ry/atom) = -0.51894
- calculated volume (A^3/atom) = 15.21
- size of the total moment (μB per cell) = 0.0

abc: 8.6412 8.6412 8.6411
angles: 60.00 60.00 60.00
Last column: nearest neighbours and their distance in Å.
Fractional positions:
Ta1 0.5000 0.5000 0.5000  6 Pt 2.76
Pt1 0.7256 0.7256 0.2744  12 Rh 2.75-3.07, 1 Ta 2.76
Pt2 0.2744 0.2744 0.7256  12 Rh 2.75-3.07, 1 Ta 2.76
Pt3 0.7256 0.2744 0.2744  12 Rh 2.75-3.07, 1 Ta 2.76
Pt4 0.2744 0.7256 0.7256  12 Rh 2.75-3.07, 1 Ta 2.76
Pt5 0.7256 0.2744 0.7256  12 Rh 2.75-3.07, 1 Ta 2.76
Pt6 0.2744 0.7256 0.2744  12 Rh 2.75-3.07, 1 Ta 2.76
Rh1 0.6270 0.1243 0.1243  7 Rh 2.63-2.79, 3 Pt 2.82
Rh2 0.3730 0.8757 0.8757  7 Rh 2.63-2.79, 3 Pt 2.82
Rh3 0.1243 0.1243 0.6270  7 Rh 2.63-2.79, 3 Pt 2.82
Rh4 0.1243 0.1243 0.1243  7 Rh 2.63-2.79, 3 Pt 2.82
Rh5 0.8757 0.8757 0.3730  7 Rh 2.63-2.79, 3 Pt 2.82
Rh6 0.8757 0.8757 0.8757  7 Rh 2.63-2.79, 3 Pt 2.82
Rh7 0.1243 0.6270 0.1243  7 Rh 2.63-2.79, 3 Pt 2.82
Rh8 0.8757 0.3730 0.8757  7 Rh 2.63-2.79, 3 Pt 2.82
Rh9 0.5000 0.5000 0.0000  8 Rh 2.52-2.65
Rh10 0.0000 0.0000 0.5000  8 Rh 2.52-2.65
Rh11 0.5000 0.0000 0.0000  8 Rh 2.52-2.65
Rh12 0.0000 0.5000 0.5000  8 Rh 2.52-2.65
Rh13 0.5000 0.0000 0.5000  8 Rh 2.52-2.65
Rh14 0.0000 0.5000 0.0000  8 Rh 2.52-2.65
Rh15 0.9497 0.3501 0.3501  6 Rh 2.52-2.79, 3 Pt 2.75
Rh16 0.0503 0.6499 0.6499  6 Rh 2.52-2.79, 3 Pt 2.75
Rh17 0.3501 0.3501 0.9497  6 Rh 2.52-2.79, 3 Pt 2.75
Rh18 0.3501 0.3501 0.3501  6 Rh 2.52-2.79, 3 Pt 2.75
Rh19 0.6499 0.6499 0.0503  6 Rh 2.52-2.79, 3 Pt 2.75
Rh20 0.6499 0.6499 0.6499  6 Rh 2.52-2.79, 3 Pt 2.75
Rh21 0.3501 0.9497 0.3501  6 Rh 2.52-2.79, 3 Pt 2.75
Rh22 0.6499 0.0503 0.6499  6 Rh 2.52-2.79, 3 Pt 2.75
Rh23 0.0000 0.0000 0.0000  8 Rh 2.63